The following is a DFT calculation (PBE) of crystalline Al2NiAs at its relaxed geometry.

a = 4.4450 Å, b = 4.4450 Å, c = 4.4450 Å
α = 60.00°, β = 60.00°, γ = 60.00°
Atoms (fractional coordinates):
Al 0.0000 0.0000 0.0000
Al 0.2500 0.2500 0.2500
Ni 0.5000 0.5000 0.5000
As 0.7500 0.7500 0.7500

Output
Its space group is F-43m, No. 216. For the calculated formation energy, the calculation gives 102 meV/atom. As for the size of the total moment: 0.00 μB per atom. As for the calculated volume: 15.53 Å³/atom.

The following is a DFT calculation (PBE) of crystalline Al2NiAs at its relaxed geometry.

a = 4.7399 Å, b = 4.7399 Å, c = 4.7399 Å
α = 133.26°, β = 128.51°, γ = 72.06°
Atoms (fractional coordinates):
Al 0.2443 0.2443 0.0000
Al 0.7557 0.7557 0.0000
Ni 0.0000 0.5000 0.5000
As 0.5000 0.0000 0.5000

Output
Its space group is Immm, No. 71. For the calculated formation energy, the calculation gives -57 meV/atom. As for the size of the total moment: 0.00 μB per atom. As for the calculated volume: 14.84 Å³/atom.

The following is a DFT calculation (PBE) of crystalline Np2AlNi3As4 at its relaxed geometry.

a = 4.2153 Å, b = 4.2153 Å, c = 9.5739 Å
α = 90.00°, β = 90.00°, γ = 90.00°
Atoms (fractional coordinates):
Np 0.0000 0.5000 0.2388
Np 0.5000 0.0000 0.7612
Al 0.0000 0.0000 0.5000
Ni 0.0000 0.5000 0.8868
Ni 0.5000 0.0000 0.1132
Ni 0.5000 0.5000 0.5000
As 0.0000 0.0000 0.0000
As 0.0000 0.5000 0.6446
As 0.5000 0.0000 0.3554
As 0.5000 0.5000 0.0000

Output
Its space group is P-4m2, No. 115. For the calculated formation energy, the calculation gives -407 meV/atom. As for the size of the total moment: 0.82 μB per atom. As for the calculated volume: 17.01 Å³/atom.

Please write out number 2 again, unchanged.
The following is a DFT calculation (PBE) of crystalline Al2NiAs at its relaxed geometry.

a = 4.7399 Å, b = 4.7399 Å, c = 4.7399 Å
α = 133.26°, β = 128.51°, γ = 72.06°
Atoms (fractional coordinates):
Al 0.2443 0.2443 0.0000
Al 0.7557 0.7557 0.0000
Ni 0.0000 0.5000 0.5000
As 0.5000 0.0000 0.5000

Output
Its space group is Immm, No. 71. For the calculated formation energy, the calculation gives -57 meV/atom. As for the size of the total moment: 0.00 μB per atom. As for the calculated volume: 14.84 Å³/atom.